Below is a relaxed MnTlO2F crystal, with properties calculated at the PBE with a Hubbard U level.

Results
Spin magnetization (μB per cell): 3.31
Uncorrected energy (eV per atom): -5.6211
Calculated density (g/cm3): 7.919
N(E_F) (states/eV/f.u.): 2.4

Geometry as CIF:
```
data_MnTlO2F
_chemical_formula_sum 'Mn1 Tl1 O2 F1'
_cell_length_a 3.951
_cell_length_b 3.951
_cell_length_c 4.168
_cell_angle_alpha 90.00
_cell_angle_beta 90.00
_cell_angle_gamma 90.00
_symmetry_space_group_name_H-M 'P 4/m m m'
_symmetry_Int_Tables_number 123
_symmetry_space_group_name_Hall '-P 4 2'
loop_
_atom_site_label
_atom_site_type_symbol
_atom_site_fract_x
_atom_site_fract_y
_atom_site_fract_z
Mn1 Mn 0.000 0.000 0.000
Tl1 Tl 0.500 0.500 0.500
O1 O 0.000 0.500 0.000
F1 F 0.000 0.000 0.500
```